# RbBi2Os (GGA-PBE, optimized geometry)
# ΔE to the lowest computed polymorph: 0.3047 eV/atom
# SG: Fm-3m
# Calculated formation energy: 312 kJ/mol of formula units
# Theoretical density: 11.58 g cm⁻³
data_RbBi2Os
_chemical_formula_sum 'Rb1 Bi2 Os1'
_symmetry_space_group_name_H-M 'P 1'
_symmetry_Int_Tables_number 1
_cell_length_a 5.201
_cell_length_b 5.201
_cell_length_c 5.201
_cell_angle_alpha 60.00
_cell_angle_beta 60.00
_cell_angle_gamma 60.00
loop_
_symmetry_equiv_pos_as_xyz
'x,y,z'
loop_
_atom_site_label
_atom_site_type_symbol
_atom_site_fract_x
_atom_site_fract_y
_atom_site_fract_z
_atom_site_occupancy
Bi1 Bi 0.750 0.750 0.750 1
Bi2 Bi 0.250 0.250 0.250 1
Rb1 Rb 0.000 0.000 0.000 1
Os1 Os 0.500 0.500 0.500 1